# PmGdZnPb (GGA-PBE, optimized geometry)
data_PmGdZnPb
_chemical_formula_sum 'Pm4 Gd4 Zn4 Pb4'
_space_group_name_H-M_alt 'F -4 3 m'
_space_group_IT_number 216
_space_group_name_Hall 'F -4 2 3'
_cell_length_a 7.545
_cell_length_b 7.545
_cell_length_c 7.545
_cell_angle_alpha 90.00
_cell_angle_beta 90.00
_cell_angle_gamma 90.00
loop_
_atom_site_label
_atom_site_fract_x
_atom_site_fract_y
_atom_site_fract_z
_atom_site_occupancy
Pm1 0.000 0.000 0.000 1
Gd1 0.000 0.000 0.500 1
Zn1 0.250 0.250 0.750 1
Pb1 0.250 0.250 0.250 1
# - calculated formation energy (eV per atom) = -0.40

# PrGdPb2 (GGA-PBE, optimized geometry)
data_PrGdPb2
_chemical_formula_sum 'Pr4 Gd4 Pb8'
_space_group_name_H-M_alt 'F m -3 m'
_space_group_IT_number 225
_space_group_name_Hall '-F 4 2 3'
_cell_length_a 7.870
_cell_length_b 7.870
_cell_length_c 7.870
_cell_angle_alpha 90.00
_cell_angle_beta 90.00
_cell_angle_gamma 90.00
loop_
_atom_site_label
_atom_site_fract_x
_atom_site_fract_y
_atom_site_fract_z
_atom_site_occupancy
Pr1 0.000 0.000 0.000 1
Gd1 0.000 0.000 0.500 1
Pb1 0.250 0.250 0.250 1
# - relative energy among the computed polymorphs (kJ/mol of formula units) = 34
# - calculated formation energy (eV per atom) = -0.44

# PrGdPb2 (GGA-PBE, optimized geometry)
data_PrGdPb2
_chemical_formula_sum 'Pr1 Gd1 Pb2'
_space_group_name_H-M_alt 'P 4/m m m'
_space_group_IT_number 123
_space_group_name_Hall '-P 4 2'
_cell_length_a 5.104
_cell_length_b 5.104
_cell_length_c 4.573
_cell_angle_alpha 90.00
_cell_angle_beta 90.00
_cell_angle_gamma 90.00
loop_
_atom_site_label
_atom_site_fract_x
_atom_site_fract_y
_atom_site_fract_z
_atom_site_occupancy
Pr1 0.000 0.000 0.000 1
Gd1 0.500 0.500 0.000 1
Pb1 0.000 0.500 0.500 1
# - relative energy among the computed polymorphs (kJ/mol of formula units) = 4
# - calculated formation energy (eV per atom) = -0.51

# PrGdPb2 (GGA-PBE, optimized geometry)
data_PrGdPb2
_chemical_formula_sum 'Pr1 Gd1 Pb2'
_space_group_name_H-M_alt 'P 4/m m m'
_space_group_IT_number 123
_space_group_name_Hall '-P 4 2'
_cell_length_a 3.584
_cell_length_b 3.584
_cell_length_c 9.209
_cell_angle_alpha 90.00
_cell_angle_beta 90.00
_cell_angle_gamma 90.00
loop_
_atom_site_label
_atom_site_fract_x
_atom_site_fract_y
_atom_site_fract_z
_atom_site_occupancy
Pr1 0.000 0.000 0.000 1
Gd1 0.000 0.000 0.500 1
Pb1 0.500 0.500 0.256 1
# - relative energy among the computed polymorphs (kJ/mol of formula units) = 0
# - calculated formation energy (eV per atom) = -0.52

# PrGdPb2 (GGA-PBE, optimized geometry)
data_PrGdPb2
_chemical_formula_sum 'Pr3 Gd3 Pb6'
_space_group_name_H-M_alt 'R -3 m'
_space_group_IT_number 166
_space_group_name_Hall '-R 3 2"'
_cell_length_a 4.1569
_cell_length_b 4.1569
_cell_length_c 26.3856
_cell_angle_alpha 90.00
_cell_angle_beta 90.00
_cell_angle_gamma 120.00
loop_
_atom_site_label
_atom_site_fract_x
_atom_site_fract_y
_atom_site_fract_z
_atom_site_occupancy
Pr1 0.0000 0.0000 0.0000 1
Gd1 0.0000 0.0000 0.5000 1
Pb1 0.0000 0.0000 0.2480 1
# - relative energy among the computed polymorphs (kJ/mol of formula units) = 52
# - calculated formation energy (eV per atom) = -0.39

# PrGdPtPb (GGA-PBE, optimized geometry)
data_PrGdPtPb
_chemical_formula_sum 'Pr4 Gd4 Pt4 Pb4'
_space_group_name_H-M_alt 'F -4 3 m'
_space_group_IT_number 216
_space_group_name_Hall 'F -4 2 3'
_cell_length_a 7.515
_cell_length_b 7.515
_cell_length_c 7.515
_cell_angle_alpha 90.00
_cell_angle_beta 90.00
_cell_angle_gamma 90.00
loop_
_atom_site_label
_atom_site_fract_x
_atom_site_fract_y
_atom_site_fract_z
_atom_site_occupancy
Pr1 0.000 0.000 0.000 1
Gd1 0.000 0.000 0.500 1
Pt1 0.250 0.250 0.250 1
Pb1 0.250 0.250 0.750 1
# - calculated formation energy (eV per atom) = -0.69

# PrGdRhPb (GGA-PBE, optimized geometry)
data_PrGdRhPb
_chemical_formula_sum 'Pr4 Gd4 Rh4 Pb4'
_space_group_name_H-M_alt 'F -4 3 m'
_space_group_IT_number 216
_space_group_name_Hall 'F -4 2 3'
_cell_length_a 7.470
_cell_length_b 7.470
_cell_length_c 7.470
_cell_angle_alpha 90.00
_cell_angle_beta 90.00
_cell_angle_gamma 90.00
loop_
_atom_site_label
_atom_site_fract_x
_atom_site_fract_y
_atom_site_fract_z
_atom_site_occupancy
Pr1 0.000 0.000 0.000 1
Gd1 0.000 0.000 0.500 1
Rh1 0.250 0.250 0.250 1
Pb1 0.250 0.250 0.750 1
# - calculated formation energy (eV per atom) = -0.45

# PrSmGdPb (GGA-PBE, optimized geometry)
data_PrSmGdPb
_chemical_formula_sum 'Pr4 Sm4 Gd4 Pb4'
_space_group_name_H-M_alt 'F -4 3 m'
_space_group_IT_number 216
_space_group_name_Hall 'F -4 2 3'
_cell_length_a 7.911
_cell_length_b 7.911
_cell_length_c 7.911
_cell_angle_alpha 90.00
_cell_angle_beta 90.00
_cell_angle_gamma 90.00
loop_
_atom_site_label
_atom_site_fract_x
_atom_site_fract_y
_atom_site_fract_z
_atom_site_occupancy
Pr1 0.000 0.000 0.000 1
Sm1 0.000 0.000 0.500 1
Gd1 0.250 0.250 0.250 1
Pb1 0.250 0.250 0.750 1
# - calculated formation energy (eV per atom) = -0.18

no.,density (g cm⁻³)
1,8.89
2,9.71
3,9.93
4,10.00
5,8.99
6,10.96
7,9.69
8,8.80